## La2PWF (PBE with a Hubbard U)

Data for a relaxed structure of La2PWF.

- space-group type = P4/mmm (123)
- VASP energy (eV/atom) = -5.3649
- magnetic moment (μB/cell) = 1.0

a = 4.9648 Å, b = 4.9648 Å, c = 4.4504 Å
α = 90.00°, β = 90.00°, γ = 90.00°
Element x y z (fractional)
1 La 0.0000 0.5000 0.0000
2 La 0.5000 0.0000 0.0000
3 P 0.0000 0.0000 0.5000
4 W 0.5000 0.5000 0.5000
5 F 0.5000 0.5000 0.0000